Below is CaAg7 at its PBEsol-relaxed geometry, with properties calculated at the SCAN level.

- Calculated formation energy: -0.030 eV per atom
- Final energy: -28.68 eV per atom

Cell lengths 5.8508, 5.8508, 5.8508 Å; angles 60.00, 60.00, 60.00 degrees
With the nearest neighbours (Å) after each atom.
Atoms (fractional coordinates):
Ca  0.0000  0.0000  0.0000  12 Ag 2.93
Ag  0.0000  0.0000  0.5000  2 Ca 2.93, 10 Ag 2.93
Ag  0.0000  0.5000  0.0000  2 Ca 2.93, 10 Ag 2.93
Ag  0.0000  0.5000  0.5000  10 Ag 2.93, 2 Ca 2.93
Ag  0.5000  0.0000  0.0000  2 Ca 2.93, 10 Ag 2.93
Ag  0.5000  0.0000  0.5000  10 Ag 2.93, 2 Ca 2.93
Ag  0.5000  0.5000  0.0000  10 Ag 2.93, 2 Ca 2.93
Ag  0.5000  0.5000  0.5000  12 Ag 2.93